No. 1
# Pr3TeP2 (PBE, relaxed)
data_Pr3TeP2
_space_group_name_H-M_alt 'P -3 m 1'
_space_group_IT_number 164
_space_group_name_Hall '-P 3 2"'
_cell_length_a 4.2703
_cell_length_b 4.2703
_cell_length_c 10.7864
_cell_angle_alpha 90.00
_cell_angle_beta 90.00
_cell_angle_gamma 120.00
loop_
_atom_site_label
_atom_site_type_symbol
_atom_site_fract_x
_atom_site_fract_y
_atom_site_fract_z
Pr1 Pr 0.0000 0.0000 0.0000
Pr2 Pr 0.3333 0.6667 0.3012
Te1 Te 0.0000 0.0000 0.5000
P1 P 0.3333 0.6667 0.8413
# Size of the total moment = 0.002 μB per formula unit
# Total DFT energy (no corrections) = -37.74 eV/cell
# V = 28.391 Å³ per atom


No. 2
# PrTh3P4 (PBE, relaxed)
data_PrTh3P4
_space_group_name_H-M_alt 'P m -3 m'
_space_group_IT_number 221
_space_group_name_Hall '-P 4 2 3'
_cell_length_a 5.8729
_cell_length_b 5.8729
_cell_length_c 5.8729
_cell_angle_alpha 90.00
_cell_angle_beta 90.00
_cell_angle_gamma 90.00
loop_
_atom_site_label
_atom_site_type_symbol
_atom_site_fract_x
_atom_site_fract_y
_atom_site_fract_z
Pr1 Pr 0.0000 0.0000 0.0000
Th1 Th 0.0000 0.5000 0.5000
P1 P 0.0000 0.0000 0.5000
P2 P 0.5000 0.5000 0.5000
# Size of the total moment = 0.005 μB per formula unit
# Total DFT energy (no corrections) = -61.10 eV/cell
# V = 25.320 Å³ per atom


No. 3
# PrY2P3 (PBE, relaxed)
data_PrY2P3
_space_group_name_H-M_alt 'P -3 m 1'
_space_group_IT_number 164
_space_group_name_Hall '-P 3 2"'
_cell_length_a 4.0761
_cell_length_b 4.0761
_cell_length_c 9.9759
_cell_angle_alpha 90.00
_cell_angle_beta 90.00
_cell_angle_gamma 120.00
loop_
_atom_site_label
_atom_site_type_symbol
_atom_site_fract_x
_atom_site_fract_y
_atom_site_fract_z
Pr1 Pr 0.0000 0.0000 0.0000
Y1 Y 0.3333 0.6667 0.3380
P1 P 0.0000 0.0000 0.5000
P2 P 0.3333 0.6667 0.8237
# Size of the total moment = 0.002 μB per formula unit
# Total DFT energy (no corrections) = -43.43 eV/cell
# V = 23.923 Å³ per atom


No. 4
# Pr2YP3 (PBE, relaxed)
data_Pr2YP3
_space_group_name_H-M_alt 'P -3 m 1'
_space_group_IT_number 164
_space_group_name_Hall '-P 3 2"'
_cell_length_a 4.1421
_cell_length_b 4.1421
_cell_length_c 10.1277
_cell_angle_alpha 90.00
_cell_angle_beta 90.00
_cell_angle_gamma 120.00
loop_
_atom_site_label
_atom_site_type_symbol
_atom_site_fract_x
_atom_site_fract_y
_atom_site_fract_z
Pr1 Pr 0.3333 0.6667 0.3287
Y1 Y 0.0000 0.0000 0.0000
P1 P 0.0000 0.0000 0.5000
P2 P 0.3333 0.6667 0.8427
# Size of the total moment = 0.005 μB per formula unit
# Total DFT energy (no corrections) = -41.52 eV/cell
# V = 25.080 Å³ per atom


No. 5
# P4Pt (PBE, relaxed)
data_P4Pt
_space_group_name_H-M_alt 'C 1 2/c 1'
_space_group_IT_number 15
_cell_length_a 5.1402
_cell_length_b 10.5398
_cell_length_c 6.8885
_cell_angle_alpha 90.00
_cell_angle_beta 108.14
_cell_angle_gamma 90.00
loop_
_space_group_symop_operation_xyz
'x,y,z'
'-x,-y,-z'
'-x,y,-z+1/2'
'x,-y,z+1/2'
'x+1/2,y+1/2,z'
'-x+1/2,-y+1/2,-z'
'-x+1/2,y+1/2,-z+1/2'
'x+1/2,-y+1/2,z+1/2'
loop_
_atom_site_label
_atom_site_type_symbol
_atom_site_fract_x
_atom_site_fract_y
_atom_site_fract_z
P1 P 0.2214 0.2491 0.3167
P2 P 0.2274 0.0732 0.8398
Pt1 Pt 0.0000 0.4134 0.7500
# Size of the total moment = 0.002 μB per formula unit
# Total DFT energy (no corrections) = -114.76 eV/cell
# V = 17.733 Å³ per atom


No. 6
# Sr2ReP6Pt (PBE, relaxed)
data_Sr2ReP6Pt
_space_group_name_H-M_alt 'P n m a'
_space_group_IT_number 62
_cell_length_a 11.7005
_cell_length_b 7.3388
_cell_length_c 10.8081
_cell_angle_alpha 90.00
_cell_angle_beta 90.00
_cell_angle_gamma 90.00
loop_
_space_group_symop_operation_xyz
'x,y,z'
'-x,-y,-z'
'-x+1/2,-y,z+1/2'
'x+1/2,y,-z+1/2'
'x+1/2,-y+1/2,-z+1/2'
'-x+1/2,y+1/2,z+1/2'
'-x,y+1/2,-z'
'x,-y+1/2,z'
loop_
_atom_site_label
_atom_site_type_symbol
_atom_site_fract_x
_atom_site_fract_y
_atom_site_fract_z
Sr1 Sr 0.0593 0.2500 0.2074
Sr2 Sr 0.1638 0.2500 0.8431
Re1 Re 0.0711 0.7500 0.5245
P1 P 0.0328 0.0414 0.6174
P2 P 0.0705 0.5778 0.0376
P3 P 0.1374 0.2500 0.5250
P4 P 0.1883 0.7500 0.6884
Pt1 Pt 0.2006 0.7500 0.8952
# Size of the total moment = 0.010 μB per formula unit
# Total DFT energy (no corrections) = -231.01 eV/cell
# V = 23.202 Å³ per atom


No. 7
# Sr2ReP6Pt (PBE, relaxed)
data_Sr2ReP6Pt
_space_group_name_H-M_alt 'R -3'
_space_group_IT_number 148
_space_group_name_Hall '-R 3'
_cell_length_a 6.6052
_cell_length_b 6.6052
_cell_length_c 15.0978
_cell_angle_alpha 90.00
_cell_angle_beta 90.00
_cell_angle_gamma 120.00
loop_
_atom_site_label
_atom_site_type_symbol
_atom_site_fract_x
_atom_site_fract_y
_atom_site_fract_z
Sr1 Sr 0.0000 0.0000 0.1949
Re1 Re 0.0000 0.0000 0.5000
P1 P 0.0013 0.2466 0.6221
Pt1 Pt 0.0000 0.0000 0.0000
# Size of the total moment = 0.010 μB per formula unit
# Total DFT energy (no corrections) = -169.60 eV/cell
# V = 19.015 Å³ per atom


No. 8
# Sr2ReP6Pt (PBE, relaxed)
data_Sr2ReP6Pt
_space_group_name_H-M_alt 'R -3 m'
_space_group_IT_number 166
_space_group_name_Hall '-R 3 2"'
_cell_length_a 5.8629
_cell_length_b 5.8629
_cell_length_c 41.7474
_cell_angle_alpha 90.00
_cell_angle_beta 90.00
_cell_angle_gamma 120.00
loop_
_atom_site_label
_atom_site_type_symbol
_atom_site_fract_x
_atom_site_fract_y
_atom_site_fract_z
Sr1 Sr 0.0000 0.0000 0.1481
Sr2 Sr 0.0000 0.0000 0.3068
Re1 Re 0.0000 0.0000 0.4084
P1 P 0.0211 0.5105 0.1208
P2 P 0.0745 0.5372 0.7169
Pt1 Pt 0.0000 0.0000 0.0000
Pt2 Pt 0.0000 0.0000 0.5000
# Size of the total moment = 0.005 μB per formula unit
# Total DFT energy (no corrections) = -348.91 eV/cell
# V = 20.713 Å³ per atom


No. 9
# P2Pt3S8 (PBE, relaxed)
data_P2Pt3S8
_space_group_name_H-M_alt 'P -3 m 1'
_space_group_IT_number 164
_space_group_name_Hall '-P 3 2"'
_cell_length_a 7.1833
_cell_length_b 7.1833
_cell_length_c 7.4199
_cell_angle_alpha 90.00
_cell_angle_beta 90.00
_cell_angle_gamma 120.00
loop_
_atom_site_label
_atom_site_type_symbol
_atom_site_fract_x
_atom_site_fract_y
_atom_site_fract_z
P1 P 0.3333 0.6667 0.1735
Pt1 Pt 0.0000 0.5000 0.5000
S1 S 0.1860 0.3720 0.3275
S2 S 0.3333 0.6667 0.9160
# Size of the total moment = 0.002 μB per formula unit
# Total DFT energy (no corrections) = -66.11 eV/cell
# V = 25.505 Å³ per atom


No. 10
# SbPPt (PBE, relaxed)
data_SbPPt
_space_group_name_H-M_alt 'P -6 m 2'
_space_group_IT_number 187
_space_group_name_Hall 'P -6 2'
_cell_length_a 4.6944
_cell_length_b 4.6944
_cell_length_c 2.9339
_cell_angle_alpha 90.00
_cell_angle_beta 90.00
_cell_angle_gamma 120.00
loop_
_atom_site_label
_atom_site_type_symbol
_atom_site_fract_x
_atom_site_fract_y
_atom_site_fract_z
Sb1 Sb 0.0000 0.0000 0.0000
P1 P 0.3333 0.6667 0.0000
Pt1 Pt 0.6667 0.3333 0.5000
# Size of the total moment = 0.002 μB per formula unit
# Total DFT energy (no corrections) = -14.14 eV/cell
# V = 18.665 Å³ per atom


No. 11
# Si2P2Pt (PBE, relaxed)
data_Si2P2Pt
_space_group_name_H-M_alt 'P 1 21 1'
_space_group_IT_number 4
_cell_length_a 6.0647
_cell_length_b 9.6078
_cell_length_c 12.1117
_cell_angle_alpha 90.00
_cell_angle_beta 103.02
_cell_angle_gamma 90.00
loop_
_space_group_symop_operation_xyz
'x,y,z'
'-x,y+1/2,-z'
loop_
_atom_site_label
_atom_site_type_symbol
_atom_site_fract_x
_atom_site_fract_y
_atom_site_fract_z
Si1 Si 0.0346 0.0000 0.3318
Si2 Si 0.0404 0.3051 0.1783
Si3 Si 0.2408 0.4304 0.5748
Si4 Si 0.2518 0.1775 0.4369
Si5 Si 0.2543 0.9488 0.9158
Si6 Si 0.4410 0.6282 0.6391
Si7 Si 0.4489 0.6537 0.8300
Si8 Si 0.4535 0.7888 0.1636
P1 P 0.0456 0.1352 0.6707
P2 P 0.0714 0.1532 0.8607
P3 P 0.2348 0.6133 0.0691
P4 P 0.2390 0.7992 0.3902
P5 P 0.2506 0.8268 0.5807
P6 P 0.2653 0.3414 0.9269
P7 P 0.2718 0.9925 0.1033
P8 P 0.4517 0.4627 0.3247
Pt1 Pt 0.0894 0.5655 0.8639
Pt2 Pt 0.0938 0.4030 0.3731
Pt3 Pt 0.3915 0.3831 0.1282
Pt4 Pt 0.4129 0.2078 0.6432
# Size of the total moment = 0.001 μB per formula unit
# Total DFT energy (no corrections) = -235.47 eV/cell
# V = 17.190 Å³ per atom


No. 12
# SmP2Pt8 (PBE, relaxed)
data_SmP2Pt8
_space_group_name_H-M_alt 'C 1 2/m 1'
_space_group_IT_number 12
_cell_length_a 12.0319
_cell_length_b 4.0780
_cell_length_c 9.4193
_cell_angle_alpha 90.00
_cell_angle_beta 127.53
_cell_angle_gamma 90.00
loop_
_space_group_symop_operation_xyz
'x,y,z'
'-x,-y,-z'
'-x,y,-z'
'x,-y,z'
'x+1/2,y+1/2,z'
'-x+1/2,-y+1/2,-z'
'-x+1/2,y+1/2,-z'
'x+1/2,-y+1/2,z'
loop_
_atom_site_label
_atom_site_type_symbol
_atom_site_fract_x
_atom_site_fract_y
_atom_site_fract_z
Sm1 Sm 0.0000 0.0000 0.0000
P1 P 0.0583 0.5000 0.7897
Pt1 Pt 0.0254 0.0000 0.3699
Pt2 Pt 0.1664 0.5000 0.6519
Pt3 Pt 0.1776 0.5000 0.3452
Pt4 Pt 0.2260 0.5000 0.0870
# Size of the total moment = 0.004 μB per formula unit
# Total DFT energy (no corrections) = -142.24 eV/cell
# V = 16.659 Å³ per atom